No. 1
## Nd2DyBi (PBE)

Data for an optimized crystal structure of Nd2DyBi.

## Properties
energy of formation from the pure elements	-0.400	eV per atom
density	8.98	g/cm3
total moment	0.00	μB per atom

a = 4.9959 Å, b = 4.9411 Å, c = 4.9411 Å
α = 90.00°, β = 90.00°, γ = 90.00°
Last column: nearest neighbours and their distance in Å.
Fractional coordinates of all 4 atoms:
Nd (0.0000, 0.0000, 0.5000)  4 Nd 3.49, 4 Dy 3.51, 4 Bi 3.51
Nd (0.0000, 0.5000, 0.0000)  4 Nd 3.49, 4 Bi 3.51, 4 Dy 3.51
Bi (0.5000, 0.0000, 0.0000)  4 Dy 3.49, 8 Nd 3.51
Dy (0.5000, 0.5000, 0.5000)  4 Bi 3.49, 8 Nd 3.51


No. 2
## Nd2DyBi (PBE)

Data for an optimized crystal structure of Nd2DyBi.

## Properties
energy of formation from the pure elements	-0.188	eV per atom
density	7.60	g/cm3
total moment	0.22	μB per atom

a = 4.1508 Å, b = 4.1508 Å, c = 9.9625 Å
α = 77.98°, β = 77.98°, γ = 60.00°
Last column: nearest neighbours and their distance in Å.
Fractional coordinates of all 4 atoms:
Nd (0.0714, 0.0714, 0.7858)  3 Bi 3.17
Nd (0.2621, 0.2621, 0.2138)  3 Bi 3.16
Dy (0.4999, 0.4999, 0.5002)  6 Nd 3.66
Bi (0.6666, 0.6666, 0.0002)  6 Nd 3.16-3.17


No. 3
## NdDy2Bi (PBE)

Data for an optimized crystal structure of NdDy2Bi.

## Properties
energy of formation from the pure elements	-0.179	eV per atom
density	8.16	g/cm3
total moment	0.09	μB per atom

a = 4.0642 Å, b = 4.0642 Å, c = 9.9278 Å
α = 78.19°, β = 78.19°, γ = 60.00°
Last column: nearest neighbours and their distance in Å.
Fractional coordinates of all 4 atoms:
Nd (0.5005, 0.5005, 0.4985)  6 Dy 3.65-3.68, 6 Nd 4.06
Dy (0.0692, 0.0692, 0.7923)  3 Bi 3.09
Dy (0.2640, 0.2640, 0.2080)  3 Bi 3.08
Bi (0.6663, 0.6663, 0.0011)  6 Dy 3.08-3.09


No. 4
## Nd2Dy2Bi5 (PBE)

Data for an optimized crystal structure of Nd2Dy2Bi5.

## Properties
energy of formation from the pure elements	-0.681	eV per atom
density	9.54	g/cm3
total moment	0.00	μB per atom

a = 8.5144 Å, b = 9.1474 Å, c = 9.1473 Å
α = 125.85°, β = 90.00°, γ = 90.00°
Last column: nearest neighbours and their distance in Å.
Fractional coordinates of all 18 atoms:
Nd (0.0000, 0.8072, 0.1928)  7 Bi 3.14-3.36
Nd (0.5000, 0.3072, 0.6928)  7 Bi 3.14-3.36
Nd (0.0000, 0.1928, 0.8072)  7 Bi 3.14-3.36
Nd (0.5000, 0.6928, 0.3072)  7 Bi 3.14-3.36
Dy (0.3411, 0.1546, 0.1546)  8 Bi 3.18-3.44
Dy (0.6589, 0.8454, 0.8454)  8 Bi 3.18-3.44
Dy (0.8411, 0.3454, 0.3454)  8 Bi 3.18-3.44
Dy (0.1589, 0.6546, 0.6546)  8 Bi 3.18-3.44
Bi (0.0000, 0.0000, 0.0000)  2 Nd 3.14, 4 Dy 3.18
Bi (0.5000, 0.5000, 0.5000)  2 Nd 3.14, 4 Dy 3.18
Bi (0.1493, 0.2136, 0.4875)  3 Dy 3.21-3.44, 3 Nd 3.29-3.36, 1 Bi 3.56
Bi (0.8507, 0.5125, 0.7864)  3 Dy 3.21-3.44, 3 Nd 3.29-3.36, 1 Bi 3.56
Bi (0.6493, 0.0125, 0.2864)  3 Dy 3.21-3.44, 3 Nd 3.29-3.36, 1 Bi 3.56
Bi (0.3507, 0.7136, 0.9875)  3 Dy 3.21-3.44, 3 Nd 3.29-3.36, 1 Bi 3.56
Bi (0.8507, 0.7864, 0.5125)  3 Dy 3.21-3.44, 3 Nd 3.29-3.36, 1 Bi 3.56
Bi (0.1493, 0.4875, 0.2136)  3 Dy 3.21-3.44, 3 Nd 3.29-3.36, 1 Bi 3.56
Bi (0.3507, 0.9875, 0.7136)  3 Dy 3.21-3.44, 3 Nd 3.29-3.36, 1 Bi 3.56
Bi (0.6493, 0.2864, 0.0125)  3 Dy 3.21-3.44, 3 Nd 3.29-3.36, 1 Bi 3.56


No. 5
## NdDy2Bi4 (PBE)

Data for an optimized crystal structure of NdDy2Bi4.

## Properties
energy of formation from the pure elements	-0.637	eV per atom
density	9.74	g/cm3
total moment	0.00	μB per atom

a = 4.5368 Å, b = 6.1435 Å, c = 17.1867 Å
α = 90.00°, β = 90.00°, γ = 111.67°
Last column: nearest neighbours and their distance in Å.
Fractional coordinates of all 14 atoms:
Nd (0.5534, 0.1069, 0.7500)  7 Bi 3.30-3.38
Nd (0.4466, 0.8931, 0.2500)  7 Bi 3.30-3.38
Dy (0.1598, 0.3196, 0.4253)  6 Bi 3.01-3.34
Dy (0.8402, 0.6804, 0.9253)  6 Bi 3.01-3.34
Dy (0.1598, 0.3196, 0.0747)  6 Bi 3.01-3.34
Dy (0.8402, 0.6804, 0.5747)  6 Bi 3.01-3.34
Bi (0.8508, 0.7016, 0.1193)  4 Dy 3.24-3.61, 2 Nd 3.38, 2 Bi 3.50
Bi (0.8508, 0.7016, 0.3807)  4 Dy 3.24-3.61, 2 Nd 3.38, 2 Bi 3.50
Bi (0.1492, 0.2984, 0.8807)  4 Dy 3.24-3.61, 2 Nd 3.38, 2 Bi 3.50
Bi (0.1492, 0.2984, 0.6193)  4 Dy 3.24-3.61, 2 Nd 3.38, 2 Bi 3.50
Bi (0.8438, 0.6875, 0.7500)  2 Dy 3.01, 3 Nd 3.30-3.32
Bi (0.1562, 0.3125, 0.2500)  2 Dy 3.01, 3 Nd 3.30-3.32
Bi (0.5000, 0.0000, 0.0000)  4 Dy 3.18, 4 Bi 3.50
Bi (0.5000, 0.0000, 0.5000)  4 Dy 3.18, 4 Bi 3.50


No. 6
## Nd5Dy2Bi5 (PBE)

Data for an optimized crystal structure of Nd5Dy2Bi5.

## Properties
energy of formation from the pure elements	-0.673	eV per atom
density	8.38	g/cm3
total moment	0.00	μB per atom

a = 4.5405 Å, b = 7.8325 Å, c = 13.0889 Å
α = 110.64°, β = 90.00°, γ = 106.85°
Last column: nearest neighbours and their distance in Å.
Fractional coordinates of all 12 atoms:
Nd (0.5000, 0.0000, 0.5000)  4 Bi 3.22
Nd (0.6624, 0.3248, 0.0353)  5 Bi 3.24-3.46
Nd (0.7216, 0.4431, 0.3417)  5 Bi 3.11-3.35
Nd (0.2784, 0.5569, 0.6583)  5 Bi 3.11-3.35
Nd (0.3376, 0.6752, 0.9647)  5 Bi 3.24-3.46
Dy (0.0489, 0.0977, 0.7912)  4 Bi 3.01-3.12
Dy (0.9511, 0.9023, 0.2088)  4 Bi 3.01-3.12
Bi (0.1164, 0.2328, 0.4266)  1 Dy 3.01, 5 Nd 3.11-3.22
Bi (0.6894, 0.3789, 0.7839)  2 Dy 3.12, 5 Nd 3.35-3.46
Bi (0.3106, 0.6211, 0.2161)  2 Dy 3.12, 5 Nd 3.35-3.46
Bi (0.8836, 0.7672, 0.5734)  1 Dy 3.01, 5 Nd 3.11-3.22
Bi (0.0000, 0.0000, 0.0000)  2 Dy 3.08, 4 Nd 3.24


No. 7
## Nd2DyBi2O2 (PBE)

Data for an optimized crystal structure of Nd2DyBi2O2.

## Properties
density	9.13	g/cm3
total moment	0.00	μB per atom
ΔE_f (raw)	-1.849	eV/atom

a = 4.4092 Å, b = 4.4092 Å, c = 8.9900 Å
α = 104.20°, β = 104.20°, γ = 90.00°
Last column: nearest neighbours and their distance in Å.
Fractional coordinates of all 7 atoms:
Nd (0.3902, 0.3902, 0.7805)  4 O 2.88
Nd (0.6098, 0.6098, 0.2195)  4 O 2.88
Dy (0.0000, 0.0000, 0.0000)  4 O 2.20
Bi (0.1904, 0.1904, 0.3809)  1 Dy 3.21, 5 Nd 3.37-3.40
Bi (0.8096, 0.8096, 0.6191)  1 Dy 3.21, 5 Nd 3.37-3.40
O (0.0000, 0.5000, 0.0000)  2 Dy 2.20
O (0.5000, 0.0000, 0.0000)  2 Dy 2.20


No. 8
## NdDyBiO2 (PBE)

Data for an optimized crystal structure of NdDyBiO2.

## Properties
density	8.41	g/cm3
total moment	0.00	μB per atom
ΔE_f (raw)	-2.621	eV/atom

a = 3.9548 Å, b = 3.9548 Å, c = 7.4593 Å
α = 105.37°, β = 105.37°, γ = 90.00°
Last column: nearest neighbours and their distance in Å.
Fractional coordinates of all 5 atoms:
Nd (0.8352, 0.8352, 0.6705)  4 O 2.33
Dy (0.1694, 0.1694, 0.3387)  4 O 2.24
Bi (0.5038, 0.5038, 0.0076)  4 Dy 3.61, 4 Nd 3.64, 4 O 3.89, 4 Bi 3.95
O (0.7458, 0.2458, 0.4916)  2 Dy 2.24, 2 Nd 2.33
O (0.2458, 0.7458, 0.4916)  2 Dy 2.24, 2 Nd 2.33